Record 1
LiScIn2: relaxed, GGA-PBEsol.

Summary:
**Space-group type**: Fm-3m (225)
**Total moment**: 0.0 μB per cell
**Formation energy**: -0.403 eV per atom
**E**: -4.037 eV/atom
**Crystal system**: cubic

a b c (Å): 4.872 4.874 4.872
angles (deg): 60.01 90.00 119.99
Fractional coordinates of all 4 atoms:
1 Sc 0.500 0.000 0.500
2 In 0.250 0.500 0.250
3 In 0.750 0.500 0.750
4 Li 0.000 0.000 0.000

---

Record 2
LiSc2In2: relaxed, GGA-PBEsol.

Summary:
**Space-group type**: P4/mbm (127)
**Total moment**: 0.0 μB per cell
**Formation energy**: -0.317 eV per atom
**E**: -4.546 eV/atom
**Crystal system**: tetragonal

a b c (Å): 4.373 7.106 7.106
angles (deg): 90.00 90.00 90.00
Fractional coordinates of all 10 atoms:
1 Sc 0.500 0.160 0.660
2 Sc 0.500 0.660 0.840
3 Sc 0.500 0.840 0.340
4 Sc 0.500 0.340 0.160
5 Li 0.000 0.000 0.000
6 Li 0.000 0.500 0.500
7 In 0.000 0.355 0.855
8 In 0.000 0.855 0.645
9 In 0.000 0.645 0.145
10 In 0.000 0.145 0.355

---

Record 3
Li2Sc2In: relaxed, GGA-PBEsol.

Summary:
**Space-group type**: I4/mmm (139)
**Total moment**: 0.4 μB per cell
**Formation energy**: 0.047 eV per atom
**E**: -3.979 eV/atom
**Crystal system**: tetragonal

a b c (Å): 3.347 3.347 9.657
angles (deg): 99.98 99.98 90.00
Last column: magnetic moment on the atom in μB.
Fractional coordinates of all 5 atoms:
1 Sc 0.396 0.396 0.792  0.11
2 Sc 0.604 0.604 0.208  0.11
3 Li 0.250 0.750 0.500  0.00
4 Li 0.750 0.250 0.500  0.00
5 In 0.000 0.000 0.000  0.00

---

Record 4
Li2ScIn2: relaxed, GGA-PBEsol.

Summary:
**Space-group type**: P4/mbm (127)
**Total moment**: 0.7 μB per cell
**Formation energy**: -0.305 eV per atom
**E**: -3.606 eV/atom
**Crystal system**: tetragonal

a b c (Å): 3.025 7.892 7.892
angles (deg): 90.00 90.00 90.00
Last column: magnetic moment on the atom in μB.
Fractional coordinates of all 10 atoms:
1 Sc 0.000 0.000 0.000  0.23
2 Sc 0.000 0.500 0.500  0.23
3 Li 0.000 0.384 0.884  0.00
4 Li 0.000 0.884 0.616  0.00
5 Li 0.000 0.616 0.116  0.00
6 Li 0.000 0.116 0.384  0.00
7 In 0.500 0.181 0.681  0.00
8 In 0.500 0.681 0.819  0.00
9 In 0.500 0.819 0.319  0.00
10 In 0.500 0.319 0.181  0.00

---

Record 5
LiInSe2: relaxed, GGA-PBEsol.

Summary:
**Space-group type**: I-42d (122)
**Total moment**: 0.0 μB per cell
**E_form (uncorrected)**: -3.4 eV per formula unit
**E**: -4.003 eV/atom
**Crystal system**: tetragonal

a b c (Å): 5.955 5.955 7.193
angles (deg): 114.45 114.45 90.00
Fractional coordinates of all 8 atoms:
1 Li 0.750 0.250 0.500
2 Li 0.500 0.500 0.000
3 Se 0.384 0.875 0.250
4 Se 0.866 0.375 0.250
5 Se 0.125 0.134 0.750
6 Se 0.625 0.616 0.750
7 In 0.250 0.750 0.500
8 In 0.000 0.000 0.000

---

Record 6
LiInSe2: relaxed, GGA-PBEsol.

Summary:
**Space-group type**: Imm2 (44)
**Total moment**: 0.0 μB per cell
**E_form (uncorrected)**: -2.4 eV per formula unit
**E**: -3.768 eV/atom
**Crystal system**: orthorhombic

a b c (Å): 3.607 3.659 6.995
angles (deg): 105.16 104.94 90.00
Fractional coordinates of all 4 atoms:
1 In 0.451 0.451 0.902
2 Li 0.211 0.711 0.423
3 Se 0.045 0.045 0.091
4 Se 0.792 0.292 0.584

---

Record 7
LiIn2Se: relaxed, GGA-PBEsol.

Summary:
**Space-group type**: Immm (71)
**Total moment**: 0.0 μB per cell
**E_form (uncorrected)**: -1.8 eV per formula unit
**E**: -3.383 eV/atom
**Crystal system**: orthorhombic

a b c (Å): 3.680 4.250 6.465
angles (deg): 109.19 106.53 90.00
Fractional coordinates of all 4 atoms:
1 In 0.702 0.702 0.403
2 In 0.298 0.298 0.597
3 Li 0.500 0.000 0.000
4 Se 0.000 0.500 0.000

---

Record 8
LiInSe2: relaxed, GGA-PBEsol.

Summary:
**Space-group type**: Cmm2 (35)
**Total moment**: 0.0 μB per cell
**E_form (uncorrected)**: -0.9 eV per formula unit
**E**: -3.387 eV/atom
**Crystal system**: orthorhombic

a b c (Å): 3.090 3.090 9.458
angles (deg): 90.00 90.00 90.24
Fractional coordinates of all 4 atoms:
1 In 0.000 0.000 0.508
2 Li 0.500 0.500 0.214
3 Se 0.000 0.000 0.061
4 Se 0.500 0.500 0.718

---

Record 9
LiInSe2: relaxed, GGA-PBEsol.

Summary:
**Space-group type**: R-3m (166)
**Total moment**: 0.0 μB per cell
**E_form (uncorrected)**: -3.2 eV per formula unit
**E**: -3.974 eV/atom
**Crystal system**: trigonal

a b c (Å): 3.894 3.894 6.810
angles (deg): 90.01 106.61 119.99
Fractional coordinates of all 4 atoms:
1 In 0.500 0.500 0.000
2 Se 0.998 0.249 0.247
3 Se 0.002 0.751 0.753
4 Li 0.500 0.000 0.500

---

Record 10
Li2InSe: relaxed, GGA-PBEsol.

Summary:
**Space-group type**: Pmm2 (25)
**Total moment**: 0.0 μB per cell
**E_form (uncorrected)**: -2.5 eV per formula unit
**E**: -3.317 eV/atom
**Crystal system**: orthorhombic

a b c (Å): 3.871 3.964 5.033
angles (deg): 90.00 89.94 90.00
Fractional coordinates of all 4 atoms:
1 In 0.375 0.500 0.836
2 Li 0.875 0.000 0.973
3 Li 0.875 0.500 0.388
4 Se 0.375 0.000 0.303

---

Record 11
LiInSe2: relaxed, GGA-PBEsol.

Summary:
**Space-group type**: I4/mmm (139)
**Total moment**: 0.0 μB per cell
**E_form (uncorrected)**: -1.5 eV per formula unit
**E**: -3.541 eV/atom
**Crystal system**: tetragonal

a b c (Å): 4.765 4.943 4.765
angles (deg): 118.82 90.00 118.82
Fractional coordinates of all 4 atoms:
1 In 0.500 0.000 0.500
2 Li 0.000 0.000 0.000
3 Se 0.750 0.500 0.250
4 Se 0.250 0.500 0.750

---

Record 12
Li2InSe: relaxed, GGA-PBEsol.

Summary:
**Space-group type**: I4/mmm (139)
**Total moment**: 0.0 μB per cell
**E_form (uncorrected)**: -2.1 eV per formula unit
**E**: -3.211 eV/atom
**Crystal system**: tetragonal

a b c (Å): 4.357 5.091 4.357
angles (deg): 115.33 90.00 115.33
Fractional coordinates of all 4 atoms:
1 In 0.000 0.000 0.000
2 Li 0.750 0.500 0.250
3 Li 0.250 0.500 0.750
4 Se 0.500 0.000 0.500